Material: SrAs2RhBr
Method: DFT, PBE
State: relaxed

a = 5.830 Å, b = 5.830 Å, c = 5.706 Å
α = 90.00°, β = 90.00°, γ = 90.00°
Each line ends with the local moment (μB).
Sites, in units of the cell vectors:
Sr 0.000 0.000 0.000  0.03
As 0.000 0.500 0.000  0.42
As 0.500 0.000 0.000  0.42
Rh 0.500 0.500 0.500  1.63
Br 0.000 0.000 0.500  0.14

Output
Raw formation energy, eV per atom: 1.07
Crystal system: tetragonal

Material: TaAsRhBr2
Method: DFT, PBE
State: relaxed

a = 4.918 Å, b = 4.918 Å, c = 4.879 Å
α = 90.00°, β = 90.00°, γ = 90.00°
Each line ends with the local moment (μB).
Sites, in units of the cell vectors:
As 0.000 0.000 0.500  -0.15
Rh 0.000 0.000 0.000  -0.05
Br 0.000 0.500 0.000  -0.05
Br 0.500 0.000 0.000  -0.05
Ta 0.500 0.500 0.500  1.82

Output
Raw formation energy, eV per atom: 0.99
Crystal system: tetragonal

Material: TaAsRhBr2
Method: DFT, PBE
State: relaxed

a = 5.063 Å, b = 5.063 Å, c = 5.115 Å
α = 90.00°, β = 90.00°, γ = 90.00°
Each line ends with the local moment (μB).
Sites, in units of the cell vectors:
As 0.000 0.000 0.500  0.01
Rh 0.500 0.500 0.500  1.38
Br 0.000 0.500 0.000  0.02
Br 0.500 0.000 0.000  0.02
Ta 0.000 0.000 0.000  0.06

Output
Raw formation energy, eV per atom: 0.72
Crystal system: tetragonal

Material: TcAs2RhBr
Method: DFT, PBE
State: relaxed

a = 4.682 Å, b = 4.682 Å, c = 5.340 Å
α = 90.00°, β = 90.00°, γ = 90.00°
Each line ends with the local moment (μB).
Sites, in units of the cell vectors:
As 0.000 0.500 0.000  0.00
As 0.500 0.000 0.000  0.00
Rh 0.500 0.500 0.500  1.02
Tc 0.000 0.000 0.000  -0.10
Br 0.000 0.000 0.500  0.08

Output
Raw formation energy, eV per atom: 0.86
Crystal system: tetragonal